First-principles (GGA-PBE) data for ZnPt9W2 after structural relaxation, as listed in the Alexandria database.

Cell: 3.9587 3.9587 11.9032 Å, 90.00 90.00 90.00°
Last column: magnetic moment on the atom in μB.
Fractional coordinates of all 12 atoms:
1 Pt 0.0000 0.5000 0.5000  0.04
2 Pt 0.5000 0.0000 0.1702  0.04
3 Pt 0.5000 0.5000 0.3356  0.03
4 W 0.0000 0.0000 0.6739  0.51
5 Pt 0.5000 0.5000 0.0000  0.02
6 Pt 0.5000 0.5000 0.6644  0.03
7 Pt 0.0000 0.5000 0.8298  0.04
8 Pt 0.5000 0.0000 0.8298  0.04
9 Pt 0.0000 0.5000 0.1702  0.04
10 Pt 0.5000 0.0000 0.5000  0.04
11 Zn 0.0000 0.0000 0.0000  0.00
12 W 0.0000 0.0000 0.3261  0.51

- Formation energy: -254 meV per atom
- Space-group type: P4/mmm, No. 123
- Calculated volume: 186.53 Å³/f.u.